Computed, not measured: a geometry-optimized Tb7RuS5 structure at the PBE level of DFT.

Values from the calculation:
Symmetry: No. 4
D(E_F): 13.2 states/eV/cell
Crystal system: monoclinic
ρ: 7689 kg/m³
ΔE_f (raw): -1.607 eV per atom

a b c (Å): 3.869 6.754 23.707
angles (deg): 90.00 90.00 106.67
Atoms (fractional coordinates):
Ru: 0.190 0.382 0.757
S: 0.282 0.564 0.072
Tb: 0.099 0.198 0.883
Ru: 0.810 0.619 0.257
S: 0.992 0.985 0.498
Tb: 0.918 0.835 0.109
S: 0.008 0.016 0.998
Tb: 0.808 0.617 0.820
Tb: 0.902 0.803 0.383
Tb: 0.634 0.267 0.465
Tb: 0.463 0.925 0.249
S: 0.548 0.094 0.360
S: 0.453 0.907 0.860
S: 0.442 0.886 0.642
Tb: 0.082 0.166 0.609
Tb: 0.367 0.734 0.965
Tb: 0.646 0.291 0.037
S: 0.558 0.115 0.142
Tb: 0.355 0.710 0.537
Tb: 0.193 0.384 0.320
Tb: 0.797 0.595 0.679
S: 0.730 0.460 0.929
S: 0.718 0.437 0.572
Tb: 0.204 0.407 0.179
S: 0.271 0.541 0.429
Tb: 0.538 0.076 0.749